[1]
KLiZrS3: relaxed, PBE-GGA.

```
KLiZrS3
1.0
8.6386 0.0000 0.0000
0.0000 3.8438 0.0000
-2.9412 0.0000 8.5748
K Li Zr S
2 2 2 6
direct
0.2150 0.2500 0.2538
0.7850 0.7500 0.7462
0.0771 0.2500 0.5997
0.9229 0.7500 0.4003
0.3233 0.7500 0.8410
0.6767 0.2500 0.1590
0.1351 0.2500 0.8730
0.2144 0.7500 0.5510
0.4659 0.7500 0.1520
0.5341 0.2500 0.8480
0.7856 0.2500 0.4490
0.8649 0.7500 0.1270
```


[2]
TbPu2Si2Pt7: relaxed, PBE-GGA.

```
TbPu2Si2Pt7
1.0
2.8875 -2.8562 0.0000
2.8875 2.8562 0.0000
-1.9463 0.0000 13.7361
Tb Pu Si Pt
1 2 2 7
direct
0.0000 0.0000 0.0000
0.1068 0.1068 0.3621
0.8932 0.8932 0.6379
0.4133 0.4133 0.7466
0.5867 0.5867 0.2534
0.0548 0.5540 0.1598
0.3782 0.3782 0.5754
0.4460 0.9452 0.8402
0.5000 0.5000 0.0000
0.5540 0.0548 0.1598
0.6218 0.6218 0.4246
0.9452 0.4460 0.8402
```


[3]
Cu3Ru: relaxed, PBE-GGA.

```
Cu3Ru
1.0
2.6060 0.0000 0.0000
-1.3030 2.2569 0.0000
0.0000 0.0000 8.6313
Cu Ru
3 1
direct
0.0000 0.0000 0.0000
0.6667 0.3333 0.2429
0.6667 0.3333 0.7571
0.0000 0.0000 0.5000
```

Output
energy relative to the elements: 0.17 eV/atom


[4]
KMg2Be: relaxed, PBE-GGA.

```
KMg2Be
1.0
4.6940 -1.6583 0.0000
4.6940 1.6583 0.0000
-2.6029 0.0000 7.4262
K Mg Be
1 2 1
direct
0.0000 0.0000 0.0000
0.1641 0.1641 0.6308
0.3861 0.3861 0.3902
0.6685 0.6685 0.3852
```

Output
energy relative to the elements: 0.45 eV/atom


[5]
Cs4Pm3PuTe8: relaxed, PBE-GGA.

```
Cs4Pm3PuTe8
1.0
4.6552 2.6877 8.9224
-4.6552 2.6877 8.9224
0.0000 -5.3753 8.9224
Cs Pm Pu Te
4 3 1 8
direct
0.0000 0.0000 0.0000
0.0000 0.5000 0.5000
0.5000 0.0000 0.5000
0.5000 0.5000 0.0000
0.0000 0.0000 0.5000
0.0000 0.5000 0.0000
0.5000 0.0000 0.0000
0.5000 0.5000 0.5000
0.2315 0.2315 0.2315
0.2317 0.7302 0.7302
0.2698 0.2698 0.7683
0.2698 0.7683 0.2698
0.7302 0.2317 0.7302
0.7302 0.7302 0.2317
0.7683 0.2698 0.2698
0.7685 0.7685 0.7685
```


[6]
Na2Cd5PdAu2: relaxed, PBE-GGA.

```
Na2Cd5PdAu2
1.0
11.4452 0.0000 0.0000
0.0000 11.4452 0.0000
0.0000 0.0000 3.4406
Na Cd Pd Au
4 10 2 4
direct
0.1733 0.3267 0.0000
0.3267 0.8267 0.0000
0.6733 0.1733 0.0000
0.8267 0.6733 0.0000
0.0000 0.5000 0.5000
0.0594 0.8156 0.5000
0.1844 0.0594 0.5000
0.3156 0.5594 0.5000
0.4406 0.3156 0.5000
0.5000 0.0000 0.5000
0.5594 0.6844 0.5000
0.6844 0.4406 0.5000
0.8156 0.9406 0.5000
0.9406 0.1844 0.5000
0.0000 0.0000 0.0000
0.5000 0.5000 0.0000
0.1362 0.6362 0.0000
0.3638 0.1362 0.0000
0.6362 0.8638 0.0000
0.8638 0.3638 0.0000
```

Output
energy relative to the elements: -0.23 eV/atom


[7]
NaInHgSe: relaxed, PBE-GGA.

```
NaInHgSe
1.0
0.0000 3.7417 3.7417
3.7417 0.0000 3.7417
3.7417 3.7417 0.0000
Na In Hg Se
1 1 1 1
direct
0.0000 0.0000 0.0000
0.5000 0.5000 0.5000
0.7500 0.7500 0.7500
0.2500 0.2500 0.2500
```


[8]
ZnInAg2: relaxed, PBE-GGA.

```
ZnInAg2
1.0
3.0472 -3.8085 0.0000
3.0472 3.8085 0.0000
-0.0425 0.0000 3.2166
Zn In Ag
1 1 2
direct
0.0000 0.0000 0.0000
0.5000 0.5000 0.0000
0.0000 0.5000 0.5000
0.5000 0.0000 0.5000
```

Output
energy relative to the elements: 0.04 eV/atom


| no. | M_tot (Bohr magnetons per cell) | calculated total energy (eV/atom) |
| --- | --- | --- |
| 1 | 0.0 | -5.47 |
| 2 | 10.8 | -8.15 |
| 3 | 0.0 | -5.23 |
| 4 | 0.0 | -1.55 |
| 5 | 5.0 | -4.90 |
| 6 | 0.0 | -2.13 |
| 7 | 0.0 | -2.38 |
| 8 | 0.0 | -2.39 |